Record 1
# Pt3Rh4W

A relaxed Pt3Rh4W crystal (PBE, Alexandria).

Results
Energy relative to the lowest polymorph listed for this composition, meV/atom: 123
ΔE_f, kcal/mol of atoms: 5.433
SG: P2/m, No. 10
Calculated density, g cm⁻³: 15.2

Unit cell a=4.389 b=2.745 c=10.819 alpha=90.00 beta=98.06 gamma=90.00
Fractional positions:
Pt (0.000, 0.000, 0.000)
Pt (0.200, 0.500, 0.320)
Pt (0.800, 0.500, 0.680)
Rh (0.270, 0.000, 0.560)
Rh (0.336, 0.000, 0.798)
Rh (0.664, 0.000, 0.202)
Rh (0.730, 0.000, 0.440)
W (0.500, 0.500, 0.000)

Record 2
# PtRh6W

A relaxed PtRh6W crystal (PBE, Alexandria).

Results
ΔE_f, kcal/mol of atoms: -3.147
SG: C2/m, No. 12
Calculated density, g cm⁻³: 14.2

Unit cell a=4.743 b=4.743 c=7.757 alpha=114.17 beta=114.17 gamma=48.23
Fractional positions:
Pt (0.000, 0.000, 0.000)
Rh (0.248, 0.248, 0.869)
Rh (0.252, 0.252, 0.378)
Rh (0.499, 0.499, 0.258)
Rh (0.501, 0.501, 0.742)
Rh (0.748, 0.748, 0.622)
Rh (0.752, 0.752, 0.131)
W (0.000, 0.000, 0.500)

Record 3
# PtRh3W

A relaxed PtRh3W crystal (PBE, Alexandria).

Results
Energy relative to the lowest polymorph listed for this composition, meV/atom: 1487
ΔE_f, kcal/mol of atoms: 30.064
SG: Pm-3m, No. 221
Calculated density, g cm⁻³: 11.4

Unit cell a=4.640 b=4.640 c=4.640 alpha=90.00 beta=90.00 gamma=90.00
Fractional positions:
Pt (0.000, 0.000, 0.000)
Rh (0.000, 0.500, 0.500)
Rh (0.500, 0.000, 0.500)
Rh (0.500, 0.500, 0.000)
W (0.500, 0.500, 0.500)

Record 4
# PtRhW2

A relaxed PtRhW2 crystal (PBE, Alexandria).

Results
Energy relative to the lowest polymorph listed for this composition, meV/atom: 604
ΔE_f, kcal/mol of atoms: 8.526
SG: Fm-3m, No. 225
Calculated density, g cm⁻³: 17.5

Unit cell a=4.471 b=4.471 c=4.471 alpha=60.00 beta=60.00 gamma=60.00
Fractional positions:
Pt (0.000, 0.000, 0.000)
Rh (0.500, 0.500, 0.500)
W (0.250, 0.250, 0.250)
W (0.750, 0.750, 0.750)

Record 5
# Pt4RhW3

A relaxed Pt4RhW3 crystal (PBE, Alexandria).

Results
ΔE_f, kcal/mol of atoms: 0.261
SG: C2/m, No. 12
Calculated density, g cm⁻³: 18.3

Unit cell a=11.283 b=11.283 c=4.233 alpha=95.18 beta=95.18 gamma=14.07
Fractional positions:
Pt (0.102, 0.102, 0.176)
Pt (0.222, 0.222, 0.235)
Pt (0.778, 0.778, 0.765)
Pt (0.898, 0.898, 0.824)
Rh (0.000, 0.000, 0.500)
W (0.343, 0.343, 0.291)
W (0.500, 0.500, 0.000)
W (0.657, 0.657, 0.709)

Record 6
# Pt4Rh3W

A relaxed Pt4Rh3W crystal (PBE, Alexandria).

Results
Energy relative to the lowest polymorph listed for this composition, meV/atom: 0
ΔE_f, kcal/mol of atoms: -0.632
SG: C2/m, No. 12
Calculated density, g cm⁻³: 17.2

Unit cell a=6.445 b=6.445 c=4.746 alpha=111.59 beta=111.59 gamma=42.71
Fractional positions:
Pt (0.123, 0.123, 0.124)
Pt (0.250, 0.250, 0.751)
Pt (0.750, 0.750, 0.249)
Pt (0.877, 0.877, 0.876)
Rh (0.380, 0.380, 0.381)
Rh (0.500, 0.500, 0.000)
Rh (0.620, 0.620, 0.619)
W (0.000, 0.000, 0.500)

Record 7
# Pt4Rh6W

A relaxed Pt4Rh6W crystal (PBE, Alexandria).

Results
ΔE_f, kcal/mol of atoms: 3.479
SG: Cmcm, No. 63
Calculated density, g cm⁻³: 15.5

Unit cell a=4.301 b=4.301 c=20.287 alpha=90.00 beta=90.00 gamma=115.05
Fractional positions:
Pt (0.072, 0.928, 0.625)
Pt (0.072, 0.928, 0.875)
Pt (0.366, 0.634, 0.546)
Pt (0.366, 0.634, 0.954)
Pt (0.634, 0.366, 0.046)
Pt (0.634, 0.366, 0.454)
Pt (0.928, 0.072, 0.125)
Pt (0.928, 0.072, 0.375)
Rh (0.000, 0.000, 0.000)
Rh (0.000, 0.000, 0.500)
Rh (0.103, 0.897, 0.750)
Rh (0.278, 0.722, 0.102)
Rh (0.278, 0.722, 0.398)
Rh (0.430, 0.570, 0.684)
Rh (0.430, 0.570, 0.816)
Rh (0.570, 0.430, 0.184)
Rh (0.570, 0.430, 0.316)
Rh (0.722, 0.278, 0.602)
Rh (0.722, 0.278, 0.898)
Rh (0.897, 0.103, 0.250)
W (0.248, 0.752, 0.250)
W (0.752, 0.248, 0.750)

Record 8
# PtRhW2

A relaxed PtRhW2 crystal (PBE, Alexandria).

Results
Energy relative to the lowest polymorph listed for this composition, meV/atom: 159
ΔE_f, kcal/mol of atoms: -1.729
SG: I-4m2, No. 119
Calculated density, g cm⁻³: 17.9

Unit cell a=4.786 b=4.786 c=4.786 alpha=130.69 beta=130.69 gamma=72.31
Fractional positions:
Pt (0.000, 0.000, 0.000)
Rh (0.750, 0.250, 0.500)
W (0.250, 0.750, 0.500)
W (0.500, 0.500, 0.000)

no.,magnetization (μB/cell),total energy (eV/atom)
1,0.0,-7.3246
2,0.0,-8.0243
3,0.0,-6.9060
4,0.0,-9.4549
5,0.0,-8.7855
6,0.0,-7.4237
7,0.0,-7.2332
8,0.0,-9.8996